#a
First-principles (PBE) data for Ac3GeH after structural relaxation, as listed in Alexandria via LeMat-Bulk.

Cell and atoms, written as CIF:
```
data_Ac3GeH
_chemical_formula_sum 'Ac3 Ge1 H1'
_symmetry_space_group_name_H-M 'P m -3 m'
_symmetry_Int_Tables_number 221
_symmetry_space_group_name_Hall '-P 4 2 3'
_cell_length_a 5.2310
_cell_length_b 5.2310
_cell_length_c 5.2310
_cell_angle_alpha 90.00
_cell_angle_beta 90.00
_cell_angle_gamma 90.00
loop_
_atom_site_label
_atom_site_fract_x
_atom_site_fract_y
_atom_site_fract_z
Ac1 0.0000 0.0000 0.5000
Ge1 0.5000 0.5000 0.5000
H1 0.0000 0.0000 0.0000
```

---

#b
First-principles (PBE) data for Ac3GeH after structural relaxation, as listed in Alexandria via LeMat-Bulk.

Cell and atoms, written as CIF:
```
data_Ac3GeH
_chemical_formula_sum 'Ac6 Ge2 H2'
_symmetry_space_group_name_H-M 'P 1'
_symmetry_Int_Tables_number 1
_symmetry_space_group_name_Hall 'P 1'
_cell_length_a 4.2084
_cell_length_b 8.1180
_cell_length_c 10.0047
_cell_angle_alpha 68.73
_cell_angle_beta 89.98
_cell_angle_gamma 89.99
loop_
_atom_site_label
_atom_site_fract_x
_atom_site_fract_y
_atom_site_fract_z
Ac1 0.0000 0.0000 0.0000
Ac2 0.9995 0.2136 0.4224
Ac3 0.0008 0.4146 0.6963
Ac4 0.0010 0.8136 0.7331
Ac5 0.5004 0.4405 0.0635
Ac6 0.5000 0.8137 0.3504
Ge1 0.0008 0.6107 0.2231
Ge2 0.5008 0.1179 0.7106
H1 0.4996 0.1708 0.3073
H2 0.5009 0.5867 0.7815
```

---

Least stable of them? #a.

---

#a
First-principles (PBE) data for AcLaGeH after structural relaxation, as listed in Alexandria via LeMat-Bulk.

Cell and atoms, written as CIF:
```
data_AcLaGeH
_chemical_formula_sum 'Ac2 La2 Ge2 H2'
_symmetry_space_group_name_H-M 'P 4/n m m'
_symmetry_Int_Tables_number 129
_cell_length_a 4.5957
_cell_length_b 4.5957
_cell_length_c 9.2398
_cell_angle_alpha 90.00
_cell_angle_beta 90.00
_cell_angle_gamma 90.00
loop_
_symmetry_equiv_pos_as_xyz
'x,y,z'
'-x,-y,-z'
'-y+1/2,x,z'
'y+1/2,-x,-z'
'-x+1/2,-y+1/2,z'
'x+1/2,y+1/2,-z'
'y,-x+1/2,z'
'-y,x+1/2,-z'
'x+1/2,-y,-z'
'-x+1/2,y,z'
'-y,-x,-z'
'y,x,z'
'-x,y+1/2,-z'
'x,-y+1/2,z'
'y+1/2,x+1/2,-z'
'-y+1/2,-x+1/2,z'
loop_
_atom_site_label
_atom_site_fract_x
_atom_site_fract_y
_atom_site_fract_z
Ac1 0.2500 0.2500 0.1264
La1 0.2500 0.7500 0.5000
Ge1 0.2500 0.2500 0.7368
H1 0.2500 0.7500 0.0000
```

---

#b
First-principles (PBE) data for AcLaGeH after structural relaxation, as listed in Alexandria via LeMat-Bulk.

Cell and atoms, written as CIF:
```
data_AcLaGeH
_chemical_formula_sum 'Ac4 La4 Ge4 H4'
_symmetry_space_group_name_H-M 'F -4 3 m'
_symmetry_Int_Tables_number 216
_symmetry_space_group_name_Hall 'F -4 2 3'
_cell_length_a 7.3511
_cell_length_b 7.3511
_cell_length_c 7.3511
_cell_angle_alpha 90.00
_cell_angle_beta 90.00
_cell_angle_gamma 90.00
loop_
_atom_site_label
_atom_site_fract_x
_atom_site_fract_y
_atom_site_fract_z
Ac1 0.0000 0.0000 0.0000
La1 0.0000 0.0000 0.5000
Ge1 0.2500 0.2500 0.7500
H1 0.2500 0.2500 0.2500
```

---

Least stable of them? #b.

---

#a
First-principles (PBE) data for AcHfGe2 after structural relaxation, as listed in Alexandria via LeMat-Bulk.

Cell and atoms, written as CIF:
```
data_AcHfGe2
_chemical_formula_sum 'Ac1 Hf1 Ge2'
_symmetry_space_group_name_H-M 'P 4/m m m'
_symmetry_Int_Tables_number 123
_symmetry_space_group_name_Hall '-P 4 2'
_cell_length_a 3.7410
_cell_length_b 3.7410
_cell_length_c 6.6627
_cell_angle_alpha 90.00
_cell_angle_beta 90.00
_cell_angle_gamma 90.00
loop_
_atom_site_label
_atom_site_fract_x
_atom_site_fract_y
_atom_site_fract_z
Ac1 0.0000 0.0000 0.0000
Hf1 0.0000 0.0000 0.5000
Ge1 0.5000 0.5000 0.3082
```

---

#b
First-principles (PBE) data for AcHfGe2 after structural relaxation, as listed in Alexandria via LeMat-Bulk.

Cell and atoms, written as CIF:
```
data_AcHfGe2
_chemical_formula_sum 'Ac3 Hf3 Ge6'
_symmetry_space_group_name_H-M 'R -3 m'
_symmetry_Int_Tables_number 166
_symmetry_space_group_name_Hall '-R 3 2"'
_cell_length_a 3.3561
_cell_length_b 3.3561
_cell_length_c 32.8068
_cell_angle_alpha 90.00
_cell_angle_beta 90.00
_cell_angle_gamma 120.00
loop_
_atom_site_label
_atom_site_fract_x
_atom_site_fract_y
_atom_site_fract_z
Ac1 0.0000 0.0000 0.0000
Hf1 0.0000 0.0000 0.5000
Ge1 0.0000 0.0000 0.4180
```

---

Least stable of them? #b.

---

#a
First-principles (PBE) data for Ac6HgGe2 after structural relaxation, as listed in Alexandria via LeMat-Bulk.

Cell and atoms, written as CIF:
```
data_Ac6HgGe2
_chemical_formula_sum 'Ac24 Hg4 Ge8'
_symmetry_space_group_name_H-M 'I m m m'
_symmetry_Int_Tables_number 71
_symmetry_space_group_name_Hall '-I 2 2'
_cell_length_a 10.6814
_cell_length_b 10.9598
_cell_length_c 11.1525
_cell_angle_alpha 90.00
_cell_angle_beta 90.00
_cell_angle_gamma 90.00
loop_
_atom_site_label
_atom_site_fract_x
_atom_site_fract_y
_atom_site_fract_z
Ac1 0.0000 0.1949 0.2487
Ac2 0.1974 0.5000 0.3303
Ac3 0.2301 0.3267 0.0000
Hg1 0.0000 0.0000 0.0000
Hg2 0.0000 0.0000 0.5000
Ge1 0.0000 0.3427 0.5000
Ge2 0.0000 0.5000 0.1151
```

---

#b
First-principles (PBE) data for Ac6HgGe2 after structural relaxation, as listed in Alexandria via LeMat-Bulk.

Cell and atoms, written as CIF:
```
data_Ac6HgGe2
_chemical_formula_sum 'Ac12 Hg2 Ge4'
_symmetry_space_group_name_H-M 'I m m m'
_symmetry_Int_Tables_number 71
_symmetry_space_group_name_Hall '-I 2 2'
_cell_length_a 5.4372
_cell_length_b 7.6817
_cell_length_c 16.3655
_cell_angle_alpha 90.00
_cell_angle_beta 90.00
_cell_angle_gamma 90.00
loop_
_atom_site_label
_atom_site_fract_x
_atom_site_fract_y
_atom_site_fract_z
Ac1 0.0000 0.2418 0.0000
Ac2 0.0000 0.2533 0.3322
Hg1 0.0000 0.0000 0.5000
Ge1 0.0000 0.0000 0.1692
```

---

Least stable of them? #b.

---

#a
First-principles (PBE) data for Ac3Hg2Ge after structural relaxation, as listed in Alexandria via LeMat-Bulk.

Cell and atoms, written as CIF:
```
data_Ac3Hg2Ge
_chemical_formula_sum 'Ac6 Hg4 Ge2'
_symmetry_space_group_name_H-M 'C 1 2/m 1'
_symmetry_Int_Tables_number 12
_symmetry_space_group_name_Hall '-C 2y'
_cell_length_a 16.2056
_cell_length_b 6.1557
_cell_length_c 4.3745
_cell_angle_alpha 90.00
_cell_angle_beta 97.47
_cell_angle_gamma 90.00
loop_
_atom_site_label
_atom_site_fract_x
_atom_site_fract_y
_atom_site_fract_z
Ac1 0.0000 0.0000 0.0000
Ac2 0.1419 0.5000 0.5559
Hg1 0.1962 0.0000 0.8806
Ge1 0.0000 0.5000 0.0000
```

---

#b
First-principles (PBE) data for Ac3Hg2Ge after structural relaxation, as listed in Alexandria via LeMat-Bulk.

Cell and atoms, written as CIF:
```
data_Ac3Hg2Ge
_chemical_formula_sum 'Ac3 Hg2 Ge1'
_symmetry_space_group_name_H-M 'P -3 m 1'
_symmetry_Int_Tables_number 164
_symmetry_space_group_name_Hall '-P 3 2"'
_cell_length_a 5.6431
_cell_length_b 5.6431
_cell_length_c 6.9791
_cell_angle_alpha 90.00
_cell_angle_beta 90.00
_cell_angle_gamma 120.00
loop_
_atom_site_label
_atom_site_fract_x
_atom_site_fract_y
_atom_site_fract_z
Ac1 0.0000 0.0000 0.0000
Ac2 0.3333 0.6667 0.6451
Hg1 0.3333 0.6667 0.1355
Ge1 0.0000 0.0000 0.5000
```

---

Least stable of them? #a.

---

#a
First-principles (PBE) data for Ac4Hg2Ge after structural relaxation, as listed in Alexandria via LeMat-Bulk.

Cell and atoms, written as CIF:
```
data_Ac4Hg2Ge
_chemical_formula_sum 'Ac8 Hg4 Ge2'
_symmetry_space_group_name_H-M 'I 4/m m m'
_symmetry_Int_Tables_number 139
_symmetry_space_group_name_Hall '-I 4 2'
_cell_length_a 6.0048
_cell_length_b 6.0048
_cell_length_c 15.9913
_cell_angle_alpha 90.00
_cell_angle_beta 90.00
_cell_angle_gamma 90.00
loop_
_atom_site_label
_atom_site_fract_x
_atom_site_fract_y
_atom_site_fract_z
Ac1 0.0000 0.0000 0.1919
Ac2 0.0000 0.5000 0.0000
Hg1 0.0000 0.0000 0.3924
Ge1 0.0000 0.0000 0.0000
```

---

#b
First-principles (PBE) data for Ac4Hg2Ge after structural relaxation, as listed in Alexandria via LeMat-Bulk.

Cell and atoms, written as CIF:
```
data_Ac4Hg2Ge
_chemical_formula_sum 'Ac8 Hg4 Ge2'
_symmetry_space_group_name_H-M 'C 1 2/m 1'
_symmetry_Int_Tables_number 12
_symmetry_space_group_name_Hall '-C 2y'
_cell_length_a 11.2368
_cell_length_b 5.1282
_cell_length_c 9.3242
_cell_angle_alpha 90.00
_cell_angle_beta 114.15
_cell_angle_gamma 90.00
loop_
_atom_site_label
_atom_site_fract_x
_atom_site_fract_y
_atom_site_fract_z
Ac1 0.0902 0.0000 0.3695
Ac2 0.1908 0.5000 0.1013
Hg1 0.1203 0.5000 0.6646
Ge1 0.0000 0.0000 0.0000
```

---

Least stable of them? #a.